(1)
# LaPr4Bi2

An optimized crystal structure of LaPr4Bi2 (PBE-GGA, Alexandria via LeMat-Bulk).

abc: 5.513 5.513 9.414
angles: 107.03 107.03 90.00
Positions (direct):
La 0.000 0.000 0.000
Pr 0.180 0.180 0.360
Pr 0.820 0.820 0.640
Pr 0.500 0.000 0.000
Pr 0.000 0.500 0.000
Bi 0.366 0.366 0.732
Bi 0.634 0.634 0.268

Fermi-level density of states ... 7.8 states/eV/cell
Energy of formation from the pure elements ... 125 meV per atom
Total energy ... -30.9 eV for the cell shown
V ... 37.21 A^3/atom
Symmetry ... No. 139

***

(2)
# La2PrBi

An optimized crystal structure of La2PrBi (PBE-GGA, Alexandria via LeMat-Bulk).

abc: 5.744 5.744 5.743
angles: 59.99 59.99 60.00
Positions (direct):
Pr 0.500 0.500 0.500
La 0.750 0.750 0.750
La 0.250 0.250 0.250
Bi 0.000 0.000 0.000

Fermi-level density of states ... 6.5 states/eV/cell
Energy of formation from the pure elements ... -272 meV per atom
Total energy ... -19.6 eV for the cell shown
V ... 33.49 A^3/atom
Symmetry ... No. 225

***

(3)
# LaPrBi

An optimized crystal structure of LaPrBi (PBE-GGA, Alexandria via LeMat-Bulk).

abc: 4.214 5.382 5.382
angles: 120.00 90.00 90.00
Positions (direct):
Pr 0.242 0.667 0.333
Bi 0.045 0.000 0.000
La 0.713 0.333 0.667

Fermi-level density of states ... 3.4 states/eV/cell
Energy of formation from the pure elements ... -352 meV per atom
Total energy ... -14.6 eV for the cell shown
V ... 35.24 A^3/atom
Symmetry ... No. 156

***

(4)
# LaPrBi

An optimized crystal structure of LaPrBi (PBE-GGA, Alexandria via LeMat-Bulk).

abc: 6.124 3.560 10.289
angles: 99.96 107.31 90.00
Positions (direct):
Pr 0.255 0.500 0.000
Pr 0.745 0.500 0.000
Bi 0.844 0.344 0.688
Bi 0.156 0.656 0.312
La 0.672 0.172 0.344
La 0.328 0.828 0.656

Fermi-level density of states ... 6.3 states/eV/cell
Energy of formation from the pure elements ... -375 meV per atom
Total energy ... -29.4 eV for the cell shown
V ... 35.10 A^3/atom
Symmetry ... No. 71

***

(5)
# La2PrBi

An optimized crystal structure of La2PrBi (PBE-GGA, Alexandria via LeMat-Bulk).

abc: 4.761 4.731 12.501
angles: 90.00 100.97 90.00
Positions (direct):
La 0.424 0.750 0.864
La 0.957 0.250 0.881
La 0.576 0.250 0.136
La 0.043 0.750 0.119
Pr 0.303 0.250 0.609
Pr 0.697 0.750 0.391
Bi 0.827 0.750 0.660
Bi 0.173 0.250 0.340

Fermi-level density of states ... 9.1 states/eV/cell
Energy of formation from the pure elements ... -470 meV per atom
Total energy ... -40.8 eV for the cell shown
V ... 34.55 A^3/atom
Symmetry ... No. 11

***

(6)
# La3Pr5Bi8

An optimized crystal structure of La3Pr5Bi8 (PBE-GGA, Alexandria via LeMat-Bulk).

abc: 9.332 9.332 9.332
angles: 60.00 60.00 60.00
Positions (direct):
Pr 0.500 0.000 0.000
Pr 0.000 0.500 0.000
Pr 0.000 0.000 0.000
Pr 0.500 0.500 0.500
Pr 0.500 0.500 0.000
Bi 0.749 0.749 0.752
Bi 0.750 0.251 0.249
Bi 0.250 0.749 0.751
Bi 0.251 0.251 0.248
Bi 0.251 0.750 0.249
Bi 0.749 0.250 0.751
Bi 0.250 0.250 0.751
Bi 0.750 0.750 0.249
La 0.000 0.000 0.500
La 0.000 0.500 0.500
La 0.500 0.000 0.500

Fermi-level density of states ... 2.4 states/eV/cell
Energy of formation from the pure elements ... -997 meV per atom
Total energy ... -85.7 eV for the cell shown
V ... 35.92 A^3/atom
Symmetry ... No. 166

***

(7)
# La3PrBi3

An optimized crystal structure of La3PrBi3 (PBE-GGA, Alexandria via LeMat-Bulk).

abc: 6.124 9.606 9.606
angles: 120.00 90.00 90.00
Positions (direct):
La 0.750 0.747 0.987
La 0.250 0.987 0.240
La 0.250 0.760 0.747
La 0.750 0.013 0.760
La 0.750 0.240 0.253
La 0.250 0.253 0.013
Bi 0.750 0.431 0.057
Bi 0.250 0.057 0.626
Bi 0.250 0.374 0.431
Bi 0.750 0.626 0.569
Bi 0.250 0.569 0.943
Bi 0.750 0.943 0.374
Pr 0.250 0.667 0.333
Pr 0.750 0.333 0.667

Fermi-level density of states ... 13.5 states/eV/cell
Energy of formation from the pure elements ... -651 meV per atom
Total energy ... -71.5 eV for the cell shown
V ... 34.95 A^3/atom
Symmetry ... No. 176

***

(8)
# LaPr2Bi2

An optimized crystal structure of LaPr2Bi2 (PBE-GGA, Alexandria via LeMat-Bulk).

abc: 4.691 4.691 8.509
angles: 74.05 74.05 90.20
Positions (direct):
Bi 0.400 0.400 0.202
Bi 0.600 0.600 0.798
La 0.000 0.000 0.000
Pr 0.751 0.249 0.500
Pr 0.249 0.751 0.500

Fermi-level density of states ... 5.0 states/eV/cell
Energy of formation from the pure elements ... -568 meV per atom
Total energy ... -25.1 eV for the cell shown
V ... 34.50 A^3/atom
Symmetry ... No. 12